This record from Alexandria via LeMat-Bulk describes crystalline Y2InFeH at its relaxed geometry. The functional is PBE.

abc: 5.058 5.058 3.695
angles: 90.00 90.00 90.00
Fractional positions:
Y 0.000 0.500 0.000
Y 0.500 0.000 0.000
In 0.000 0.000 0.500
Fe 0.500 0.500 0.500
H 0.500 0.500 0.000

Output
As for the density of states at the Fermi level: 5.408 states/eV/cell. The calculation puts the total moment at 1.2 μB/cell. The symmetry is No. 123. The value obtained for the calculated volume is 18.9 A^3/atom. Its total energy is -5.7446 eV/atom.

=====

This record from Alexandria via LeMat-Bulk describes crystalline Ga2BIr4 at its relaxed geometry. The functional is PBE.

abc: 6.993 6.993 6.993
angles: 146.23 146.23 48.50
Fractional positions:
Ga 0.140 0.140 0.000
Ga 0.860 0.860 0.000
B 0.500 0.500 0.000
Ir 0.000 0.500 0.500
Ir 0.333 0.333 0.000
Ir 0.500 0.000 0.500
Ir 0.667 0.667 0.000

Output
As for the density of states at the Fermi level: 8.377 states/eV/cell. The calculation puts the total moment at 0.0 μB/cell. The symmetry is No. 139. The value obtained for the calculated volume is 15.0 A^3/atom. Its total energy is -6.7905 eV/atom.

=====

This record from Alexandria via LeMat-Bulk describes crystalline CePuTcRh at its relaxed geometry. The functional is PBE.

abc: 4.849 4.849 4.849
angles: 60.00 60.00 60.00
Fractional positions:
Ce 0.000 0.000 0.000
Pu 0.500 0.500 0.500
Tc 0.250 0.250 0.250
Rh 0.750 0.750 0.750

Output
As for the density of states at the Fermi level: 8.961 states/eV/cell. The calculation puts the total moment at 4.6 μB/cell. The symmetry is No. 216. The value obtained for the calculated volume is 20.2 A^3/atom. Its total energy is -9.7214 eV/atom.